Density functional theory data (PBE) for a relaxed structure of Li2CdHg8.

Output
The calculation puts the theoretical density at 11.3 Mg/m³. The density of states at the Fermi level is 2.9 states/eV per cell. The formation enthalpy at 0 K is -121 meV per atom. For the energy above the most stable polymorph in this dataset, the calculation gives 0.0 meV/atom. The total energy comes out at -0.77 eV/atom.

Lattice parameters (Å, degrees): 8.2507 8.2507 7.5740 106.58 106.58 31.24
With the nearest neighbours (Å) after each atom.
Positions (direct):
Li1 0.2226 0.2226 0.1614  10 Hg 2.92-3.21
Li2 0.7774 0.7774 0.8386  10 Hg 2.92-3.21
Cd1 0.5000 0.5000 0.5000  10 Hg 3.07-3.34
Hg1 0.0432 0.0432 0.2304  1 Li 3.05, 8 Hg 3.16-3.35, 2 Cd 3.23
Hg2 0.1499 0.1499 0.7285  3 Li 2.96-3.14, 4 Hg 3.12-3.26
Hg3 0.3198 0.3198 0.5718  3 Li 3.03-3.21, 1 Cd 3.07, 8 Hg 3.10-3.31
Hg4 0.3897 0.3897 0.0179  3 Li 2.92-3.15, 3 Hg 3.12-3.23
Hg5 0.6103 0.6103 0.9821  3 Li 2.92-3.15, 3 Hg 3.12-3.23
Hg6 0.6802 0.6802 0.4282  3 Li 3.03-3.21, 1 Cd 3.07, 8 Hg 3.10-3.31
Hg7 0.8501 0.8501 0.2715  3 Li 2.96-3.14, 4 Hg 3.12-3.26
Hg8 0.9568 0.9568 0.7696  1 Li 3.05, 8 Hg 3.16-3.35, 2 Cd 3.23

Density functional theory data (PBE) for a relaxed structure of LiCd6Hg8.

Output
The calculation puts the theoretical density at 9.8 Mg/m³. The density of states at the Fermi level is 3.7 states/eV per cell. The formation enthalpy at 0 K is 12 meV per atom. For the energy above the most stable polymorph in this dataset, the calculation gives 13.4 meV/atom. The total energy comes out at -0.64 eV/atom.

Lattice parameters (Å, degrees): 7.9172 7.9172 7.9172 64.74 64.74 64.74
With the nearest neighbours (Å) after each atom.
Positions (direct):
Li1 0.0000 0.0000 0.0000  6 Cd 2.92
Cd1 0.0576 0.3736 0.7246  1 Li 2.92, 7 Hg 3.01-3.22
Cd2 0.2754 0.9424 0.6264  1 Li 2.92, 7 Hg 3.01-3.22
Cd3 0.3736 0.7246 0.0576  1 Li 2.92, 7 Hg 3.01-3.22
Cd4 0.6264 0.2754 0.9424  1 Li 2.92, 7 Hg 3.01-3.22
Cd5 0.7246 0.0576 0.3736  1 Li 2.92, 7 Hg 3.01-3.22
Cd6 0.9424 0.6264 0.2754  1 Li 2.92, 7 Hg 3.01-3.22
Hg1 0.1182 0.7853 0.4573  5 Cd 3.01-3.22, 3 Hg 3.31-3.32
Hg2 0.2147 0.5427 0.8818  5 Cd 3.01-3.22, 3 Hg 3.31-3.32
Hg3 0.3276 0.3276 0.3276  6 Cd 3.03
Hg4 0.4573 0.1182 0.7853  5 Cd 3.01-3.22, 3 Hg 3.31-3.32
Hg5 0.5427 0.8818 0.2147  5 Cd 3.01-3.22, 3 Hg 3.31-3.32
Hg6 0.6724 0.6724 0.6724  6 Cd 3.03
Hg7 0.7853 0.4573 0.1182  5 Cd 3.01-3.22, 3 Hg 3.31-3.32
Hg8 0.8818 0.2147 0.5427  5 Cd 3.01-3.22, 3 Hg 3.31-3.32

Density functional theory data (PBE) for a relaxed structure of LiCd2Hg4.

Output
The calculation puts the theoretical density at 10.3 Mg/m³. The density of states at the Fermi level is 5.1 states/eV per cell. The formation enthalpy at 0 K is -74 meV per atom. For the energy above the most stable polymorph in this dataset, the calculation gives 7.7 meV/atom. The total energy comes out at -0.78 eV/atom.

Lattice parameters (Å, degrees): 14.9562 3.5145 7.0388 90.00 116.21 90.00
With the nearest neighbours (Å) after each atom.
Positions (direct):
Li1 0.0000 0.0000 0.0000  6 Hg 2.80-2.86, 2 Cd 2.99
Li2 0.5000 0.5000 0.0000  6 Hg 2.80-2.86, 2 Cd 2.99
Cd1 0.2228 0.0000 0.2119  6 Hg 2.98-3.08, 1 Li 2.99
Cd2 0.2772 0.5000 0.7881  6 Hg 2.98-3.08, 1 Li 2.99
Cd3 0.7228 0.5000 0.2119  6 Hg 2.98-3.08, 1 Li 2.99
Cd4 0.7772 0.0000 0.7881  6 Hg 2.98-3.08, 1 Li 2.99
Hg1 0.0959 0.5000 0.3540  2 Li 2.86, 3 Cd 3.06
Hg2 0.0997 0.0000 0.7438  1 Li 2.80, 3 Cd 2.98-3.08
Hg3 0.4003 0.5000 0.2562  1 Li 2.80, 3 Cd 2.98-3.08
Hg4 0.4041 0.0000 0.6460  2 Li 2.86, 3 Cd 3.06
Hg5 0.5959 0.0000 0.3540  2 Li 2.86, 3 Cd 3.06
Hg6 0.5997 0.5000 0.7438  1 Li 2.80, 3 Cd 2.98-3.08
Hg7 0.9003 0.0000 0.2562  1 Li 2.80, 3 Cd 2.98-3.08
Hg8 0.9041 0.5000 0.6460  2 Li 2.86, 3 Cd 3.06

Density functional theory data (PBE) for a relaxed structure of Li4Cd2Hg.

Output
The calculation puts the theoretical density at 5.0 Mg/m³. The density of states at the Fermi level is 4.0 states/eV per cell. The formation enthalpy at 0 K is -68 meV per atom. For the energy above the most stable polymorph in this dataset, the calculation gives 146.9 meV/atom. The total energy comes out at -1.47 eV/atom.

Lattice parameters (Å, degrees): 5.2949 10.6409 5.3081 90.00 90.00 90.00
With the nearest neighbours (Å) after each atom.
Positions (direct):
Li1 0.0000 0.1234 0.0000  3 Cd 2.61-2.65, 1 Li 2.63
Li2 0.0000 0.3213 0.5000  2 Cd 2.70
Li3 0.0000 0.6787 0.5000  2 Cd 2.70
Li4 0.0000 0.8766 0.0000  3 Cd 2.61-2.65, 1 Li 2.63
Li5 0.5000 0.1787 0.5000  2 Cd 2.70
Li6 0.5000 0.3766 0.0000  3 Cd 2.61-2.65, 1 Li 2.63
Li7 0.5000 0.6234 0.0000  3 Cd 2.61-2.65, 1 Li 2.63
Li8 0.5000 0.8213 0.5000  2 Cd 2.70
Cd1 0.0000 0.3691 0.0000  5 Li 2.61-2.70, 1 Cd 2.79
Cd2 0.0000 0.6309 0.0000  5 Li 2.61-2.70, 1 Cd 2.79
Cd3 0.5000 0.1309 0.0000  5 Li 2.61-2.70, 1 Cd 2.79
Cd4 0.5000 0.8691 0.0000  5 Li 2.61-2.70, 1 Cd 2.79
Hg1 0.0000 0.0000 0.5000  8 Li 2.96-3.26
Hg2 0.5000 0.5000 0.5000  8 Li 2.96-3.26

Density functional theory data (PBE) for a relaxed structure of Li3Cd2Hg4.

Output
The calculation puts the theoretical density at 9.5 Mg/m³. The density of states at the Fermi level is 1.8 states/eV per cell. The formation enthalpy at 0 K is -255 meV per atom. For the energy above the most stable polymorph in this dataset, the calculation gives 0.0 meV/atom. The total energy comes out at -1.23 eV/atom.

Lattice parameters (Å, degrees): 4.7677 4.7677 9.0865 93.32 93.32 62.42
With the nearest neighbours (Å) after each atom.
Positions (direct):
Li1 0.0000 0.0000 0.0000  8 Hg 2.78-2.93
Li2 0.3414 0.3414 0.2238  7 Hg 2.86-3.04, 2 Cd 3.09-3.19
Li3 0.6586 0.6586 0.7762  7 Hg 2.86-3.04, 2 Cd 3.09-3.19
Cd1 0.3317 0.3317 0.5632  4 Hg 3.00-3.14, 3 Cd 3.00-3.05, 2 Li 3.09-3.19
Cd2 0.6683 0.6683 0.4368  4 Hg 3.00-3.14, 3 Cd 3.00-3.05, 2 Li 3.09-3.19
Hg1 0.0088 0.0088 0.3066  4 Li 2.78-2.90, 3 Cd 3.00-3.09
Hg2 0.3280 0.3280 0.9086  7 Li 2.85-3.04, 1 Cd 3.14, 1 Hg 3.16
Hg3 0.6720 0.6720 0.0914  7 Li 2.85-3.04, 1 Cd 3.14, 1 Hg 3.16
Hg4 0.9912 0.9912 0.6934  4 Li 2.78-2.90, 3 Cd 3.00-3.09

Density functional theory data (PBE) for a relaxed structure of Li2Cd12Hg5.

Output
The calculation puts the theoretical density at 9.0 Mg/m³. The density of states at the Fermi level is 5.8 states/eV per cell. The formation enthalpy at 0 K is -36 meV per atom. The total energy comes out at -0.90 eV/atom.

Lattice parameters (Å, degrees): 8.0526 8.0526 7.4015 93.14 93.14 65.97
With the nearest neighbours (Å) after each atom.
Positions (direct):
Li1 0.1923 0.8077 0.0000  8 Cd 2.91-3.08, 2 Hg 2.92
Li2 0.8077 0.1923 0.0000  8 Cd 2.91-3.08, 2 Hg 2.92
Cd1 0.0537 0.0537 0.6868  7 Cd 2.98-3.33, 2 Li 2.99, 2 Hg 3.01-3.03
Cd2 0.1088 0.6643 0.6543  1 Li 2.91, 4 Cd 2.98-3.24, 4 Hg 3.05-3.13
Cd3 0.1398 0.5400 0.2299  1 Li 2.99, 4 Cd 3.04-3.24, 4 Hg 3.08-3.34
Cd4 0.3357 0.8912 0.3457  1 Li 2.91, 4 Cd 2.98-3.24, 4 Hg 3.05-3.13
Cd5 0.3972 0.3972 0.9122  5 Cd 2.99-3.09, 2 Li 3.08, 2 Hg 3.15-3.20
Cd6 0.4600 0.8602 0.7701  1 Li 2.99, 4 Cd 3.04-3.24, 4 Hg 3.08-3.34
Cd7 0.5400 0.1398 0.2299  1 Li 2.99, 4 Cd 3.04-3.24, 4 Hg 3.08-3.34
Cd8 0.6028 0.6028 0.0878  5 Cd 2.99-3.09, 2 Li 3.08, 2 Hg 3.15-3.20
Cd9 0.6643 0.1088 0.6543  1 Li 2.91, 4 Cd 2.98-3.24, 4 Hg 3.05-3.13
Cd10 0.8602 0.4600 0.7701  1 Li 2.99, 4 Cd 3.04-3.24, 4 Hg 3.08-3.34
Cd11 0.8912 0.3357 0.3457  1 Li 2.91, 4 Cd 2.98-3.24, 4 Hg 3.05-3.13
Cd12 0.9463 0.9463 0.3132  7 Cd 2.98-3.33, 2 Li 2.99, 2 Hg 3.01-3.03
Hg1 0.1764 0.1764 0.0438  2 Li 2.92, 6 Cd 3.03-3.20
Hg2 0.2592 0.2592 0.5522  8 Cd 3.01-3.21, 1 Hg 3.30
Hg3 0.5000 0.5000 0.5000  10 Cd 3.13-3.43, 2 Hg 3.30
Hg4 0.7408 0.7408 0.4478  8 Cd 3.01-3.21, 1 Hg 3.30
Hg5 0.8236 0.8236 0.9562  2 Li 2.92, 6 Cd 3.03-3.20